Entry 1:
A plane-wave DFT calculation with PBE was carried out for a relaxed Th6TlSe5 crystal.

Cell lengths 7.4354, 7.3396, 7.4024 Å; angles 60.28, 80.41, 70.36 degrees
Last column: nearest neighbours and their distance in Å.
Fractional positions:
Se (0.5000, 0.5000, 0.0000)  6 Th 2.93-3.01
Se (0.5000, 0.8431, 0.3138)  6 Th 2.97-3.02
Th (0.7399, 0.0876, 0.3444)  5 Se 3.00-3.02, 1 Tl 3.13
Th (0.2601, 0.5679, 0.3444)  5 Se 3.00-3.02, 1 Tl 3.13
Se (0.0000, 0.6695, 0.6610)  6 Th 3.01-3.02
Th (0.7488, 0.7364, 0.0000)  5 Se 2.93-3.01, 1 Tl 3.11
Th (0.7399, 0.4321, 0.6556)  5 Se 3.00-3.02, 1 Tl 3.13
Se (0.5000, 0.1569, 0.6862)  6 Th 2.97-3.02
Se (0.0000, 0.3305, 0.3390)  6 Th 3.01-3.02
Th (0.2512, 0.2636, 0.0000)  5 Se 2.93-3.01, 1 Tl 3.11
Tl (0.0000, 0.0000, 0.0000)  6 Th 3.11-3.13
Th (0.2601, 0.9124, 0.6556)  5 Se 3.00-3.02, 1 Tl 3.13

Output
The value obtained for the formation energy from raw total energies is -1.271 eV per atom. Its density of states at the Fermi level is 9.6 states/eV per cell. The space group is C2/m. The calculated density comes out at 10.01 Mg/m³.

Entry 2:
A plane-wave DFT calculation with PBE was carried out for a relaxed Li2CaF crystal.

Cell lengths 5.1006, 5.1006, 5.1006 Å; angles 60.00, 60.00, 60.00 degrees
Last column: nearest neighbours and their distance in Å.
Fractional positions:
Ca (0.5000, 0.5000, 0.5000)  8 Li 3.12
Li (0.7500, 0.7500, 0.7500)  4 F 3.12, 4 Ca 3.12
F (0.0000, 0.0000, 0.0000)  8 Li 3.12
Li (0.2500, 0.2500, 0.2500)  4 F 3.12, 4 Ca 3.12

Output
The value obtained for the formation energy from raw total energies is -0.403 eV per atom. Its density of states at the Fermi level is 3.5 states/eV per cell. The value obtained for the energy above the most stable polymorph in this dataset is 314.0 kJ/mol of formula units. The space group is Fm-3m. The calculated density comes out at 1.29 Mg/m³.

Entry 3:
A plane-wave DFT calculation with PBE was carried out for a relaxed Tb2Tm3Sc7 crystal.

Cell lengths 3.4646, 5.4712, 18.5836 Å; angles 90.00, 95.33, 90.00 degrees
Last column: nearest neighbours and their distance in Å.
Fractional positions:
Sc (0.0000, 0.0000, 0.0000)  4 Tm 3.24, 6 Sc 3.46
Sc (0.0677, 0.5000, 0.1361)  2 Tm 3.06, 2 Tb 3.18, 4 Sc 3.27
Tm (0.1641, 0.0000, 0.3299)  4 Sc 3.31-3.56, 4 Tb 3.36, 2 Tm 3.46
Tm (0.8359, 0.0000, 0.6701)  4 Sc 3.31-3.56, 4 Tb 3.36, 2 Tm 3.46
Sc (0.4193, 0.0000, 0.8381)  8 Sc 3.27-3.46, 2 Tb 3.51, 2 Tm 3.56
Sc (0.9323, 0.5000, 0.8639)  2 Tm 3.06, 2 Tb 3.18, 4 Sc 3.27
Sc (0.7848, 0.5000, 0.5699)  4 Sc 3.11-3.46, 2 Tb 3.27, 2 Tm 3.31
Tm (0.5000, 0.5000, 0.0000)  8 Sc 3.06-3.24
Tb (0.6396, 0.5000, 0.2805)  6 Sc 3.18-3.51, 4 Tm 3.36, 2 Tb 3.46
Sc (0.5807, 0.0000, 0.1619)  8 Sc 3.27-3.46, 2 Tb 3.51, 2 Tm 3.56
Tb (0.3604, 0.5000, 0.7195)  6 Sc 3.18-3.51, 4 Tm 3.36, 2 Tb 3.46
Sc (0.2152, 0.5000, 0.4301)  4 Sc 3.11-3.46, 2 Tb 3.27, 2 Tm 3.31

Output
Its density of states at the Fermi level is 21.4 states/eV per cell. The value obtained for the energy above the most stable polymorph in this dataset is 211.5 kJ/mol of formula units. The space group is P2/m. The calculated density comes out at 5.39 Mg/m³.

Number 1: volume 330.4 Å³/f.u., spin magnetization 0.000 μB per atom. Number 2: volume 93.8 Å³/f.u., spin magnetization 0.000 μB per atom. Number 3: volume 350.7 Å³/f.u., spin magnetization 0.017 μB per atom.